Ac2SmF8, optimized geometry, DFT PBE; polymorph energy (0 for the lowest one) = 0.000 eV per atom; ΔE_f (raw) = -3.918 eV/atom; total magnetization = 1.0 Bohr magnetons per cell
1.0
7.114 -2.063 0.000
7.114 2.063 0.000
-2.837 0.000 5.713
Ac Sm F
2 1 8
Cartesian
1.970 0.000 0.952
9.423 0.000 4.761
5.696 0.000 2.857
-0.530 0.000 1.870
0.689 0.000 4.710
3.057 0.000 3.305
5.792 0.000 0.403
5.600 0.000 5.311
8.335 0.000 2.408
10.704 0.000 1.004
11.922 0.000 3.843

***

Ca2SiNi, optimized geometry, DFT PBE; ΔE_f (raw) = -0.454 eV/atom; total magnetization = 0.0 Bohr magnetons per cell
1.0
2.023 1.168 7.500
-2.023 1.168 7.500
0.000 -2.336 7.500
Ca Si Ni
2 1 1
Cartesian
0.000 0.000 0.000
0.000 0.000 3.798
0.000 0.000 16.902
0.000 0.000 9.392

***

Ba2CdAg4Bi3, optimized geometry, DFT PBE; total magnetization = 0.0 Bohr magnetons per cell; E_form = -0.370 eV per atom
1.0
4.891 0.000 0.000
0.000 4.891 0.000
0.000 0.000 12.238
Ba Cd Ag Bi
2 1 4 3
Cartesian
0.000 2.446 2.945
2.446 0.000 9.292
0.000 0.000 6.119
0.000 0.000 0.000
0.000 2.446 7.742
2.446 0.000 4.496
2.446 2.446 0.000
0.000 2.446 10.586
2.446 0.000 1.652
2.446 2.446 6.119

***

Ac6Ni2GeCl3, optimized geometry, DFT PBE; ΔE_f (raw) = -1.008 eV/atom; total magnetization = 0.0 Bohr magnetons per cell
1.0
9.812 -2.188 0.000
9.812 2.188 0.000
-2.321 0.000 8.881
Ac Ni Ge Cl
6 2 1 3
Cartesian
-0.261 0.000 2.179
5.324 0.000 3.926
4.475 0.000 7.924
12.828 0.000 0.957
11.980 0.000 4.955
17.565 0.000 6.702
2.598 0.000 2.964
14.706 0.000 5.917
9.812 0.000 0.000
1.038 0.000 7.267
8.652 0.000 4.441
16.266 0.000 1.614

***

BaNaCaEu, optimized geometry, DFT PBE; total magnetization = 7.9 Bohr magnetons per cell; E_form = 0.097 eV per atom
1.0
0.000 4.536 4.536
4.536 0.000 4.536
4.536 4.536 0.000
Ba Na Ca Eu
1 1 1 1
Cartesian
0.000 0.000 0.000
2.268 2.268 2.268
4.536 4.536 4.536
6.804 6.804 6.804

***

ThFe4Ge, optimized geometry, DFT PBE; total magnetization = 8.0 Bohr magnetons per cell; E_form = -0.001 eV per atom
1.0
0.000 3.581 3.581
3.581 0.000 3.581
3.581 3.581 0.000
Th Fe Ge
1 4 1
Cartesian
0.000 0.000 0.000
4.475 2.688 2.688
2.688 4.475 2.688
2.688 2.688 4.475
4.475 4.475 4.475
1.791 1.791 1.791

***

Dy4NiRu3, optimized geometry, DFT PBE; total magnetization = 0.0 Bohr magnetons per cell; E_form = -0.372 eV per atom
1.0
4.812 0.000 0.000
0.000 4.812 0.000
0.000 0.000 6.763
Dy Ni Ru
4 1 3
Cartesian
0.000 2.406 1.679
0.000 2.406 5.085
2.406 0.000 1.679
2.406 0.000 5.085
0.000 0.000 3.382
0.000 0.000 0.000
2.406 2.406 0.000
2.406 2.406 3.382

***

Nb3InCl, optimized geometry, DFT PBE; polymorph energy (0 for the lowest one) = 1.563 eV per atom; ΔE_f (raw) = 2.028 eV/atom; total magnetization = 0.0 Bohr magnetons per cell
1.0
5.143 0.000 0.000
0.000 5.143 0.000
0.000 0.000 5.143
Nb In Cl
3 1 1
Cartesian
0.000 0.000 2.571
0.000 2.571 0.000
2.571 0.000 0.000
0.000 0.000 0.000
2.571 2.571 2.571

***

LiMn2W, optimized geometry, DFT PBE; total magnetization = 7.6 Bohr magnetons per cell; E_form = 0.772 eV per atom
1.0
-3.268 3.268 2.610
3.268 -3.268 2.610
3.268 3.268 -2.610
Li Mn W
2 4 2
Cartesian
0.000 0.000 0.000
0.000 3.268 1.305
4.901 1.604 -0.653
1.604 1.634 0.653
-1.634 1.664 1.958
1.664 1.634 3.263
3.268 0.000 1.305
0.000 0.000 2.610

***

AcTb2NdTm4, optimized geometry, DFT PBE; total magnetization = 2.2 Bohr magnetons per cell; E_form = 0.449 eV per atom
1.0
-3.439 5.942 6.707
3.439 -5.942 6.707
3.439 5.942 -6.707
Ac Tb Nd Tm
2 4 2 8
Cartesian
0.000 0.000 0.000
0.000 5.942 0.000
3.439 0.000 0.000
-1.720 2.971 3.354
0.000 0.000 6.707
1.720 2.971 3.354
1.720 2.971 -3.354
1.720 -2.971 3.354
3.439 0.045 3.235
1.807 2.971 0.045
5.071 2.971 0.045
0.000 0.045 3.472
3.439 5.897 3.235
-1.632 2.971 6.662
1.632 2.971 6.662
0.000 5.897 3.472

***

BaSrCr3, optimized geometry, DFT PBE; polymorph energy (0 for the lowest one) = 0.000 eV per atom; total magnetization = 14.9 Bohr magnetons per cell; E_form = 1.616 eV per atom
1.0
5.912 0.000 0.000
0.000 5.912 0.000
0.000 0.000 5.912
Ba Sr Cr
1 1 3
Cartesian
0.000 0.000 0.000
2.956 2.956 2.956
0.000 2.956 2.956
2.956 0.000 2.956
2.956 2.956 0.000

***

CsGeOF2, optimized geometry, DFT PBE; polymorph energy (0 for the lowest one) = 0.000 eV per atom; ΔE_f (raw) = -1.958 eV/atom; total magnetization = 0.0 Bohr magnetons per cell
1.0
4.647 0.000 0.000
0.000 4.647 0.000
0.000 0.000 3.827
Cs Ge O F
1 1 1 2
Cartesian
0.000 0.000 0.000
2.324 2.324 1.914
2.324 2.324 0.000
0.000 2.324 1.914
2.324 0.000 1.914

***

LaPmSmDy3, optimized geometry, DFT PBE; total magnetization = 0.0 Bohr magnetons per cell; E_form = 0.187 eV per atom
1.0
10.053 -2.830 0.000
10.053 2.830 0.000
-0.036 0.000 7.078
La Pm Sm Dy
2 2 2 6
Cartesian
2.934 0.000 0.277
17.136 0.000 6.802
2.954 0.000 3.284
17.116 0.000 3.795
8.926 0.000 5.243
11.144 0.000 1.835
0.445 0.000 5.275
5.580 0.000 5.325
6.766 0.000 1.829
13.304 0.000 5.250
14.490 0.000 1.753
19.624 0.000 1.804

***

Li3Ni2H7, optimized geometry, DFT PBE; polymorph energy (0 for the lowest one) = 0.000 eV per atom; total magnetization = 0.0 Bohr magnetons per cell
1.0
-1.627 1.627 8.121
1.627 -1.627 8.121
1.627 1.627 -8.121
Li Ni H
3 2 7
Cartesian
0.000 0.000 0.000
0.000 0.000 2.958
0.000 0.000 13.284
0.000 0.000 6.496
0.000 0.000 9.746
1.627 0.000 1.574
0.000 0.000 4.905
1.627 0.000 6.547
0.000 0.000 8.121
0.000 1.627 1.574
0.000 0.000 11.337
0.000 1.627 6.547

***

KLaSb2, optimized geometry, DFT PBE; polymorph energy (0 for the lowest one) = 0.132 eV per atom; ΔE_f (raw) = -0.617 eV/atom; total magnetization = 0.0 Bohr magnetons per cell
1.0
5.297 0.000 0.000
0.000 5.297 0.000
0.000 0.000 4.490
K La Sb
1 1 2
Cartesian
0.000 0.000 0.000
2.649 2.649 0.000
0.000 2.649 2.245
2.649 0.000 2.245

***

UAl2TlO8, optimized geometry, DFT PBE; ΔE_f (raw) = -2.172 eV/atom; total magnetization = 0.9 Bohr magnetons per cell
1.0
-3.413 3.413 3.317
3.413 -3.413 3.317
3.413 3.413 -3.317
U Al Tl O
1 2 1 8
Cartesian
0.000 0.000 0.000
3.413 0.000 1.658
0.000 0.000 3.317
0.000 3.413 1.658
2.041 0.000 0.521
4.785 0.000 0.521
3.413 2.180 -1.270
3.413 -1.372 2.796
0.000 1.233 2.047
3.413 1.372 2.796
2.180 3.413 1.270
1.233 0.000 4.587

***

SmInGa2, optimized geometry, DFT PBE; polymorph energy (0 for the lowest one) = 0.131 eV per atom; total magnetization = 0.0 Bohr magnetons per cell; E_form = -0.355 eV per atom
1.0
2.272 1.312 5.201
-2.272 1.312 5.201
0.000 -2.623 5.201
Sm In Ga
1 1 2
Cartesian
0.000 0.000 0.000
0.000 0.000 7.801
0.000 0.000 3.610
0.000 0.000 11.992

***

LaSiRh2, optimized geometry, DFT PBE; ΔE_f (raw) = -0.726 eV/atom; total magnetization = 0.0 Bohr magnetons per cell
1.0
4.144 0.000 0.000
0.000 4.253 0.000
-0.654 0.000 4.534
La Si Rh
1 1 2
Cartesian
0.000 0.000 0.000
1.511 2.126 3.225
1.623 0.000 2.189
3.598 2.126 2.108

***

LaNd8Cd6, optimized geometry, DFT PBE; total magnetization = 1.1 Bohr magnetons per cell; E_form = -0.092 eV per atom
1.0
4.637 2.677 6.557
-4.637 2.677 6.557
0.000 -5.354 6.557
La Nd Cd
1 8 6
Cartesian
0.000 0.000 0.000
-1.511 -2.703 8.878
-3.096 -0.043 10.793
0.000 0.000 6.538
-1.585 2.660 8.878
1.585 -2.660 10.793
0.000 0.000 13.132
3.096 0.043 8.878
1.511 2.703 10.793
-3.068 -0.037 7.537
-1.501 -2.675 12.133
1.566 -2.638 7.537
-1.566 2.638 12.133
1.501 2.675 7.537
3.068 0.037 12.133

***

Y2ThOsC4, optimized geometry, DFT PBE; total magnetization = 0.0 Bohr magnetons per cell; E_form = -0.074 eV per atom
1.0
1.761 -6.059 0.000
1.761 6.059 0.000
0.000 0.000 12.157
Y Th Os C
4 2 2 8
Cartesian
1.761 4.488 6.570
1.761 4.488 11.666
1.761 -4.488 0.491
1.761 -4.488 5.587
1.761 1.057 9.118
1.761 -1.057 3.039
1.761 2.068 3.039
1.761 -2.068 9.118
1.761 5.080 9.118
1.761 3.254 1.588
1.761 3.254 4.490
1.761 0.000 0.000
1.761 0.000 6.079
1.761 -3.254 7.667
1.761 -3.254 10.569
1.761 -5.080 3.039

***

Tb2Sm3Er5, optimized geometry, DFT PBE; polymorph energy (0 for the lowest one) = 0.000 eV per atom; total magnetization = 0.0 Bohr magnetons per cell; E_form = 0.044 eV per atom
1.0
5.944 -8.116 0.000
5.944 8.116 0.000
-0.457 0.000 6.602
Tb Sm Er
4 6 10
Cartesian
4.035 5.662 5.783
7.167 5.662 4.120
4.263 -5.662 2.482
7.396 -5.662 0.819
5.829 7.523 1.650
4.288 4.032 2.492
7.370 4.032 0.809
4.060 -4.032 5.793
7.142 -4.032 4.110
5.601 -7.523 4.951
2.777 0.613 3.316
4.079 2.444 5.794
3.006 -0.613 0.015
5.829 0.570 1.650
7.123 2.444 4.109
4.307 -2.444 2.493
5.601 -0.570 4.951
8.425 0.613 6.587
7.352 -2.444 0.808
8.653 -0.613 3.286

***

La4Pr2H, optimized geometry, DFT PBE; total magnetization = 0.0 Bohr magnetons per cell
1.0
-2.537 2.537 8.912
2.537 -2.537 8.912
2.537 2.537 -8.912
La Pr H
4 2 1
Cartesian
2.537 0.000 0.000
0.000 0.000 2.775
0.000 2.537 0.000
0.000 0.000 15.049
0.000 0.000 6.360
0.000 0.000 11.465
0.000 0.000 0.000

***

AsPRh, optimized geometry, DFT PBE; polymorph energy (0 for the lowest one) = 0.474 eV per atom; total magnetization = 0.0 Bohr magnetons per cell; E_form = -0.092 eV per atom
1.0
-1.466 1.466 5.776
1.466 -1.466 5.776
1.466 1.466 -5.776
As P Rh
1 1 1
Cartesian
0.000 0.000 0.000
0.000 0.000 8.396
0.000 0.000 3.934

***

Number 1: total DFT energy (no corrections) -71.0 eV per cell. Number 2: total DFT energy (no corrections) -17.0 eV per cell. Number 3: total DFT energy (no corrections) -31.5 eV per cell. Number 4: total DFT energy (no corrections) -58.5 eV per cell. Number 5: total DFT energy (no corrections) -15.1 eV per cell. Number 6: total DFT energy (no corrections) -45.9 eV per cell. Number 7: total DFT energy (no corrections) -55.0 eV per cell. Number 8: total DFT energy (no corrections) -24.7 eV per cell. Number 9: total DFT energy (no corrections) -60.2 eV per cell. Number 10: total DFT energy (no corrections) -64.9 eV per cell. Number 11: total DFT energy (no corrections) -24.4 eV per cell. Number 12: total DFT energy (no corrections) -24.0 eV per cell. Number 13: total DFT energy (no corrections) -54.2 eV per cell. Number 14: total DFT energy (no corrections) -44.3 eV per cell. Number 15: total DFT energy (no corrections) -16.7 eV per cell. Number 16: total DFT energy (no corrections) -86.9 eV per cell. Number 17: total DFT energy (no corrections) -14.9 eV per cell. Number 18: total DFT energy (no corrections) -28.0 eV per cell. Number 19: total DFT energy (no corrections) -49.9 eV per cell. Number 20: total DFT energy (no corrections) -138.1 eV per cell. Number 21: total DFT energy (no corrections) -91.6 eV per cell. Number 22: total DFT energy (no corrections) -32.3 eV per cell. Number 23: total DFT energy (no corrections) -17.7 eV per cell.